[1]
Compound: Pm8GaPd2
Source: the Alexandria database
Functional: PBE
Structure: optimized geometry

Cell lengths 5.762, 8.088, 8.088 Å; angles 115.06, 98.57, 98.57 degrees
Atoms (fractional coordinates):
Pd (0.497, 0.699, 0.308)
Pd (0.497, 0.308, 0.699)
Ga (0.091, 0.006, 0.006)
Pm (0.583, 0.334, 0.086)
Pm (0.583, 0.086, 0.334)
Pm (0.184, 0.385, 0.385)
Pm (0.992, 0.229, 0.768)
Pm (0.992, 0.768, 0.229)
Pm (0.812, 0.634, 0.634)
Pm (0.384, 0.918, 0.668)
Pm (0.384, 0.668, 0.918)

**Energy above the most stable polymorph in this dataset**: 1.17 eV/f.u.
**Mass density**: 7303 kg/m3

***

[2]
Compound: Pm3Ga4Pd4
Source: the Alexandria database
Functional: PBE
Structure: optimized geometry

Cell lengths 4.253, 7.275, 8.268 Å; angles 116.10, 104.90, 90.00 degrees
Atoms (fractional coordinates):
Pm (0.127, 0.127, 0.255)
Pm (0.873, 0.873, 0.745)
Pm (0.000, 0.500, 0.000)
Ga (0.218, 0.718, 0.437)
Ga (0.782, 0.282, 0.563)
Ga (0.500, 0.815, 0.000)
Ga (0.500, 0.185, 0.000)
Pd (0.326, 0.129, 0.653)
Pd (0.674, 0.477, 0.347)
Pd (0.674, 0.871, 0.347)
Pd (0.326, 0.523, 0.653)

**Energy above the most stable polymorph in this dataset**: 0.05 eV/f.u.
**Mass density**: 8598 kg/m3

***

[3]
Compound: Pm2GaPd3
Source: the Alexandria database
Functional: PBE
Structure: optimized geometry

Cell lengths 5.833, 5.833, 8.573 Å; angles 105.40, 105.40, 102.67 degrees
Atoms (fractional coordinates):
Pm (0.250, 0.750, 0.500)
Pm (0.753, 0.753, 0.000)
Pm (0.750, 0.250, 0.500)
Pm (0.247, 0.247, 0.000)
Ga (0.668, 0.668, 0.335)
Ga (0.332, 0.332, 0.665)
Pd (0.350, 0.824, 0.174)
Pd (0.176, 0.650, 0.826)
Pd (0.650, 0.176, 0.826)
Pd (0.824, 0.350, 0.174)
Pd (0.171, 0.171, 0.342)
Pd (0.829, 0.829, 0.658)

**Energy above the most stable polymorph in this dataset**: 0.00 eV/f.u.
**Mass density**: 8756 kg/m3

***

[4]
Compound: Pm2Ga5Pd
Source: the Alexandria database
Functional: PBE
Structure: optimized geometry

Cell lengths 4.671, 6.169, 6.169 Å; angles 90.00, 90.00, 90.00 degrees
Atoms (fractional coordinates):
Pm (0.500, 0.500, 0.000)
Pm (0.500, 0.000, 0.500)
Ga (0.000, 0.707, 0.707)
Ga (0.000, 0.293, 0.707)
Ga (0.000, 0.707, 0.293)
Ga (0.500, 0.000, 0.000)
Ga (0.000, 0.293, 0.293)
Pd (0.000, 0.000, 0.000)

**Calculated total energy**: -33.63 eV for the cell shown
**Mass density**: 6961 kg/m3

***

[5]
Compound: Pm2Ga2Pd
Source: the Alexandria database
Functional: PBE
Structure: optimized geometry

Cell lengths 4.482, 5.784, 9.897 Å; angles 86.39, 76.91, 67.21 degrees
Atoms (fractional coordinates):
Pm (0.683, 0.304, 0.330)
Pm (0.925, 0.266, 0.884)
Pm (0.317, 0.696, 0.670)
Pm (0.075, 0.734, 0.116)
Ga (0.083, 0.275, 0.558)
Ga (0.631, 0.849, 0.889)
Ga (0.917, 0.725, 0.442)
Ga (0.369, 0.151, 0.111)
Pd (0.618, 0.109, 0.655)
Pd (0.382, 0.891, 0.345)

**Calculated total energy**: -48.77 eV for the cell shown
**Mass density**: 7729 kg/m3

***

[6]
Compound: Pm2Ga6Pd3
Source: the Alexandria database
Functional: PBE
Structure: optimized geometry

Cell lengths 4.258, 7.683, 7.683 Å; angles 120.00, 90.00, 90.00 degrees
Atoms (fractional coordinates):
Pm (0.000, 0.667, 0.333)
Pm (0.000, 0.333, 0.667)
Ga (0.500, 0.698, 0.698)
Ga (0.500, 0.000, 0.302)
Ga (0.000, 0.195, 0.195)
Ga (0.000, 0.805, 0.000)
Ga (0.500, 0.302, 0.000)
Ga (0.000, 0.000, 0.805)
Pd (0.500, 0.370, 0.370)
Pd (0.500, 0.630, 0.000)
Pd (0.500, 0.000, 0.630)

**Calculated total energy**: -50.56 eV for the cell shown
**Mass density**: 7839 kg/m3

***

[7]
Compound: Pm4GaPd3
Source: the Alexandria database
Functional: PBE
Structure: optimized geometry

Cell lengths 3.900, 4.539, 11.093 Å; angles 90.00, 90.00, 90.00 degrees
Atoms (fractional coordinates):
Pm (0.500, 0.500, 0.366)
Pm (0.000, 0.500, 0.856)
Pm (0.000, 0.000, 0.141)
Pm (0.500, 0.000, 0.636)
Ga (0.500, 0.500, 0.077)
Pd (0.000, 0.500, 0.586)
Pd (0.000, 0.000, 0.418)
Pd (0.500, 0.000, 0.921)

**Calculated total energy**: -43.68 eV for the cell shown
**Mass density**: 8192 kg/m3

***

[8]
Compound: PmGa4Pd2
Source: the Alexandria database
Functional: PBE
Structure: optimized geometry

Cell lengths 4.385, 6.577, 17.583 Å; angles 90.00, 90.00, 90.00 degrees
Atoms (fractional coordinates):
Pd (0.250, 0.749, 0.534)
Pd (0.750, 0.251, 0.466)
Pd (0.750, 0.249, 0.966)
Pd (0.250, 0.751, 0.034)
Pd (0.250, 0.976, 0.782)
Pd (0.750, 0.024, 0.218)
Pd (0.750, 0.476, 0.718)
Pd (0.250, 0.524, 0.282)
Ga (0.250, 0.279, 0.690)
Ga (0.750, 0.721, 0.310)
Ga (0.750, 0.779, 0.810)
Ga (0.250, 0.221, 0.190)
Ga (0.250, 0.682, 0.682)
Ga (0.750, 0.318, 0.318)
Ga (0.750, 0.182, 0.818)
Ga (0.250, 0.818, 0.182)
Ga (0.250, 0.167, 0.537)
Ga (0.750, 0.833, 0.463)
Ga (0.750, 0.667, 0.963)
Ga (0.250, 0.333, 0.037)
Ga (0.250, 0.486, 0.426)
Ga (0.750, 0.514, 0.574)
Ga (0.750, 0.986, 0.074)
Ga (0.250, 0.014, 0.926)
Pm (0.750, 0.992, 0.640)
Pm (0.250, 0.008, 0.360)
Pm (0.250, 0.492, 0.860)
Pm (0.750, 0.508, 0.140)

**Energy above the most stable polymorph in this dataset**: 0.00 eV/f.u.
**Mass density**: 8340 kg/m3

***

[9]
Compound: Pm4GaPd
Source: the Alexandria database
Functional: PBE
Structure: optimized geometry

Cell lengths 4.962, 4.963, 7.340 Å; angles 89.91, 89.95, 90.00 degrees
Atoms (fractional coordinates):
Pm (0.501, 0.997, 0.252)
Pm (0.502, 0.998, 0.745)
Pm (0.002, 0.498, 0.745)
Pm (0.001, 0.497, 0.252)
Ga (0.501, 0.497, 0.998)
Pd (0.001, 0.997, 0.498)

**Energy above the most stable polymorph in this dataset**: 0.63 eV/f.u.
**Mass density**: 6947 kg/m3

***

[10]
Compound: PmGaPd2
Source: the Alexandria database
Functional: PBE
Structure: optimized geometry

Cell lengths 5.712, 7.195, 7.511 Å; angles 90.00, 90.00, 90.00 degrees
Atoms (fractional coordinates):
Pm (0.354, 0.250, 0.032)
Pm (0.854, 0.750, 0.468)
Pm (0.646, 0.750, 0.968)
Pm (0.146, 0.250, 0.532)
Ga (0.645, 0.250, 0.383)
Ga (0.145, 0.750, 0.117)
Ga (0.355, 0.750, 0.617)
Ga (0.855, 0.250, 0.883)
Pd (0.911, 0.053, 0.180)
Pd (0.411, 0.947, 0.320)
Pd (0.089, 0.553, 0.820)
Pd (0.589, 0.447, 0.680)
Pd (0.089, 0.947, 0.820)
Pd (0.589, 0.053, 0.680)
Pd (0.911, 0.447, 0.180)
Pd (0.411, 0.553, 0.320)

**Calculated total energy**: -86.45 eV for the cell shown
**Mass density**: 9200 kg/m3